1.
# SbRu (PBE-GGA, optimized geometry)
# formation energy from raw total energies	0.289	eV per atom
data_SbRu
_chemical_formula_sum 'Sb8 Ru8'
_symmetry_space_group_name_H-M 'I -4 3 m'
_symmetry_Int_Tables_number 217
_symmetry_space_group_name_Hall 'I -4 2 3'
_cell_length_a 7.898
_cell_length_b 7.898
_cell_length_c 7.898
_cell_angle_alpha 90.00
_cell_angle_beta 90.00
_cell_angle_gamma 90.00
loop_
_atom_site_label
_atom_site_fract_x
_atom_site_fract_y
_atom_site_fract_z
Sb1 0.191 0.191 0.809
Ru1 0.124 0.124 0.124

---

2.
# Sb2Ru (PBE-GGA, optimized geometry)
# formation energy from raw total energies	-0.091	eV per atom
data_Sb2Ru
_chemical_formula_sum 'Sb8 Ru4'
_symmetry_space_group_name_H-M 'F m -3 m'
_symmetry_Int_Tables_number 225
_symmetry_space_group_name_Hall '-F 4 2 3'
_cell_length_a 6.432
_cell_length_b 6.432
_cell_length_c 6.432
_cell_angle_alpha 90.00
_cell_angle_beta 90.00
_cell_angle_gamma 90.00
loop_
_atom_site_label
_atom_site_fract_x
_atom_site_fract_y
_atom_site_fract_z
Sb1 0.250 0.250 0.250
Ru1 0.000 0.000 0.000

---

3.
# SbRu (PBE-GGA, optimized geometry)
# formation energy from raw total energies	0.128	eV per atom
data_SbRu
_chemical_formula_sum 'Sb3 Ru3'
_symmetry_space_group_name_H-M 'R -3 m'
_symmetry_Int_Tables_number 166
_symmetry_space_group_name_Hall '-R 3 2"'
_cell_length_a 3.2168
_cell_length_b 3.2168
_cell_length_c 12.0881
_cell_angle_alpha 90.00
_cell_angle_beta 90.00
_cell_angle_gamma 120.00
loop_
_atom_site_label
_atom_site_fract_x
_atom_site_fract_y
_atom_site_fract_z
Sb1 0.0000 0.0000 0.0000
Ru1 0.0000 0.0000 0.5000

---

4.
# Sb2Ru (PBE-GGA, optimized geometry)
# formation energy from raw total energies	-0.042	eV per atom
data_Sb2Ru
_chemical_formula_sum 'Sb8 Ru4'
_symmetry_space_group_name_H-M 'I 4/m c m'
_symmetry_Int_Tables_number 140
_symmetry_space_group_name_Hall '-I 4 2c'
_cell_length_a 6.415
_cell_length_b 6.415
_cell_length_c 5.984
_cell_angle_alpha 90.00
_cell_angle_beta 90.00
_cell_angle_gamma 90.00
loop_
_atom_site_label
_atom_site_fract_x
_atom_site_fract_y
_atom_site_fract_z
Sb1 0.164 0.336 0.000
Ru1 0.000 0.000 0.250